LiBe2NiO, optimized geometry, DFT GGA+U; DFT total energy = -2.675 eV/atom; theoretical density = 3.2 g/cm³; space-group type = P4/mmm, No. 123; magnetic moment = 0.0000 μB/atom
1.0
4.052 0.000 0.000
0.000 4.052 0.000
0.000 0.000 3.110
Li Be Ni O
1 2 1 1
Cartesian
0.000 0.000 0.000 Li
0.000 2.026 0.000 Be
2.026 0.000 0.000 Be
2.026 2.026 1.555 Ni
0.000 0.000 1.555 O